# 1
The following is a PBE calculation of an optimized crystal structure of ErSbAsO, from the Open Quantum Materials Database.

Properties
The value obtained for the distance to the lowest polymorph of the same formula is 0.85 eV per formula unit. The magnetic moment is 0.01 μB per cell.

Cell lengths 5.1434, 6.0099, 6.1593 Å; angles 90.00, 90.00, 90.00 degrees
With the nearest neighbours (Å) after each atom.
Sites, in units of the cell vectors:
Sb 0.0000 0.7389 0.9193  2 O 2.66, 2 As 2.71-2.88
Sb 0.0000 0.2611 0.4193  2 O 2.66, 2 As 2.71-2.88
O 0.5000 0.3731 0.3959  2 Er 2.10-2.11
O 0.5000 0.6269 0.8959  2 Er 2.10-2.11
As 0.0000 0.8113 0.3815  2 Sb 2.71-2.88, 2 Er 2.90
As 0.0000 0.1887 0.8815  2 Sb 2.71-2.88, 2 Er 2.90
Er 0.5000 0.6804 0.5573  2 O 2.10-2.11
Er 0.5000 0.3196 0.0573  2 O 2.10-2.11

=====

# 2
The following is a PBE calculation of an optimized crystal structure of ErScAsO, from the Open Quantum Materials Database.

Properties
The value obtained for the distance to the lowest polymorph of the same formula is 0.32 eV per formula unit. The magnetic moment is 0.03 μB per cell.

Cell lengths 4.1172, 6.9847, 5.8566 Å; angles 90.00, 90.00, 90.00 degrees
With the nearest neighbours (Å) after each atom.
Sites, in units of the cell vectors:
As 0.0000 0.8068 0.4175  2 Sc 2.61, 2 Er 2.79-2.88
As 0.0000 0.1932 0.9175  2 Sc 2.61, 2 Er 2.79-2.88
O 0.5000 0.3321 0.3773  2 Sc 2.07, 2 Er 2.26
O 0.5000 0.6679 0.8773  2 Sc 2.07, 2 Er 2.26
Sc 0.5000 0.5985 0.5329  2 O 2.07
Sc 0.5000 0.4015 0.0329  2 O 2.07
Er 0.0000 0.2059 0.4263  2 O 2.26
Er 0.0000 0.7941 0.9263  2 O 2.26

=====

# 3
The following is a PBE calculation of an optimized crystal structure of ErScAsO, from the Open Quantum Materials Database.

Properties
The value obtained for the distance to the lowest polymorph of the same formula is 0.15 eV per formula unit. The magnetic moment is 0.03 μB per cell.

Cell lengths 4.1416, 4.1416, 8.6281 Å; angles 90.00, 90.00, 90.00 degrees
With the nearest neighbours (Å) after each atom.
Sites, in units of the cell vectors:
O 0.5000 0.5000 0.0000  4 Er 2.28
O 0.0000 0.0000 0.0000  4 Er 2.28
Er 0.5000 0.0000 0.1105  4 O 2.28
Er 0.0000 0.5000 0.8895  4 O 2.28
Sc 0.0000 0.0000 0.5000  4 As 2.66, 4 Sc 2.93
Sc 0.5000 0.5000 0.5000  4 As 2.66, 4 Sc 2.93
As 0.0000 0.5000 0.3062  4 Sc 2.66
As 0.5000 0.0000 0.6938  4 Sc 2.66

=====

# 4
The following is a PBE calculation of an optimized crystal structure of ErScAsO, from the Open Quantum Materials Database.

Properties
The value obtained for the distance to the lowest polymorph of the same formula is 1.75 eV per formula unit. The magnetic moment is 0.13 μB per cell.

Cell lengths 4.2649, 4.2649, 8.2756 Å; angles 90.00, 90.00, 90.00 degrees
With the nearest neighbours (Å) after each atom.
Sites, in units of the cell vectors:
Er 0.5000 0.5000 0.5000  4 As 2.78, 4 Er 3.02
Er 0.0000 0.0000 0.5000  4 As 2.78, 4 Er 3.02
As 0.0000 0.5000 0.2847  4 Er 2.78, 1 Sc 2.98
As 0.5000 0.0000 0.7153  4 Er 2.78, 1 Sc 2.98
Sc 0.0000 0.5000 0.9240  4 O 2.22
Sc 0.5000 0.0000 0.0760  4 O 2.22
O 0.5000 0.5000 0.0000  4 Sc 2.22
O 0.0000 0.0000 0.0000  4 Sc 2.22

=====

# 5
The following is a PBE calculation of an optimized crystal structure of ErScAsO, from the Open Quantum Materials Database.

Properties
The value obtained for the distance to the lowest polymorph of the same formula is 0.00 eV per formula unit. The magnetic moment is 1.81 μB per cell.

Cell lengths 3.9603, 5.7877, 6.8181 Å; angles 90.00, 90.00, 90.00 degrees
With the nearest neighbours (Å) after each atom.
Sites, in units of the cell vectors:
Er 0.5000 0.0689 0.6048  2 O 2.28-2.37
Er 0.5000 0.9311 0.1048  2 O 2.28-2.37
O 0.5000 0.2592 0.8969  2 Sc 2.08, 1 Er 2.28
O 0.5000 0.7408 0.3969  2 Sc 2.08, 1 Er 2.28
As 0.0000 0.8048 0.8154  2 Sc 2.70-2.75, 4 Er 2.88-2.89
As 0.0000 0.1952 0.3154  2 Sc 2.70-2.75, 4 Er 2.88-2.89
Sc 0.0000 0.6400 0.4369  2 O 2.08
Sc 0.0000 0.3600 0.9369  2 O 2.08

=====

# 6
The following is a PBE calculation of an optimized crystal structure of ErSiAsO, from the Open Quantum Materials Database.

Properties
The value obtained for the distance to the lowest polymorph of the same formula is 0.26 eV per formula unit. The magnetic moment is 0.01 μB per cell.

Cell lengths 3.7745, 3.7745, 9.9572 Å; angles 90.00, 90.00, 90.00 degrees
With the nearest neighbours (Å) after each atom.
Sites, in units of the cell vectors:
As 0.0000 0.5000 0.2980  4 Si 2.76
As 0.5000 0.0000 0.7020  4 Si 2.76
Si 0.5000 0.5000 0.5000  4 Si 2.67, 4 As 2.76
Si 0.0000 0.0000 0.5000  4 Si 2.67, 4 As 2.76
O 0.0000 0.0000 0.0000  4 Er 2.20
O 0.5000 0.5000 0.0000  4 Er 2.20
Er 0.5000 0.0000 0.1133  4 O 2.20
Er 0.0000 0.5000 0.8867  4 O 2.20

=====

# 7
The following is a PBE calculation of an optimized crystal structure of ErSiAsO, from the Open Quantum Materials Database.

Properties
The value obtained for the distance to the lowest polymorph of the same formula is 0.61 eV per formula unit. The magnetic moment is 0.00 μB per cell.

Cell lengths 3.9326, 5.6384, 6.0705 Å; angles 90.00, 90.00, 90.00 degrees
With the nearest neighbours (Å) after each atom.
Sites, in units of the cell vectors:
Si 0.0000 0.6279 0.9604  2 O 1.98
Si 0.0000 0.3721 0.4604  2 O 1.98
O 0.5000 0.5942 0.9286  2 Si 1.98
O 0.5000 0.4058 0.4286  2 Si 1.98
Er 0.5000 0.7638 0.5927  2 O 2.25
Er 0.5000 0.2362 0.0927  2 O 2.25
As 0.0000 0.9059 0.2724  1 Si 2.46
As 0.0000 0.0941 0.7724  1 Si 2.46

=====

# 8
The following is a PBE calculation of an optimized crystal structure of ErSiAsO, from the Open Quantum Materials Database.

Properties
The value obtained for the distance to the lowest polymorph of the same formula is 0.00 eV per formula unit. The magnetic moment is 0.00 μB per cell.

Cell lengths 3.6867, 5.9674, 6.9851 Å; angles 90.00, 90.00, 90.00 degrees
With the nearest neighbours (Å) after each atom.
Sites, in units of the cell vectors:
O 0.5000 0.2436 0.2984  1 Si 1.69
O 0.5000 0.7564 0.7984  1 Si 1.69
As 0.0000 0.7736 0.3965  2 Si 2.43
As 0.0000 0.2264 0.8965  2 Si 2.43
Si 0.5000 0.6246 0.5840  1 O 1.69
Si 0.5000 0.3754 0.0840  1 O 1.69
Er 0.0000 0.2593 0.4751  2 O 2.22
Er 0.0000 0.7407 0.9751  2 O 2.22